<one>
DFT (SCAN) results for a crystal of NaPSe3 relaxed with PBEsol.

M_tot: 0.000 μB per cell
SG: Pm-3m, No. 221

a = 4.865 Å, b = 4.865 Å, c = 4.865 Å
α = 90.00°, β = 90.00°, γ = 90.00°
Fractional coordinates of all 5 atoms:
Na1 0.000 0.000 0.000
P1 0.500 0.500 0.500
Se1 0.000 0.500 0.500
Se2 0.500 0.000 0.500
Se3 0.500 0.500 0.000

***

<two>
DFT (SCAN) results for a crystal of NaPSe3 relaxed with PBEsol.

M_tot: 0.000 μB per cell
SG: Pm-3m, No. 221

a = 4.925 Å, b = 4.925 Å, c = 4.925 Å
α = 90.00°, β = 90.00°, γ = 90.00°
Fractional coordinates of all 5 atoms:
Na1 0.000 0.000 0.000
P1 0.500 0.500 0.500
Se1 0.000 0.000 0.500
Se2 0.000 0.500 0.000
Se3 0.500 0.000 0.000

***

Which one sits at the top of the stability order? <one> does.

***

<one>
DFT (SCAN) results for a crystal of NaRh2Pb2 relaxed with PBEsol.

M_tot: 0.000 μB per cell
SG: P4/mbm, No. 127

a = 7.869 Å, b = 7.869 Å, c = 3.134 Å
α = 90.00°, β = 90.00°, γ = 90.00°
Fractional coordinates of all 10 atoms:
Na1 0.000 0.000 0.000
Na2 0.500 0.500 0.000
Rh1 0.134 0.366 0.000
Rh2 0.366 0.866 0.000
Rh3 0.634 0.134 0.000
Rh4 0.866 0.634 0.000
Pb1 0.162 0.662 0.500
Pb2 0.338 0.162 0.500
Pb3 0.662 0.838 0.500
Pb4 0.838 0.338 0.500

***

<two>
DFT (SCAN) results for a crystal of NaRh2Pb2 relaxed with PBEsol.

M_tot: 0.000 μB per cell
SG: I4/mmm, No. 139

a = 6.925 Å, b = 6.925 Å, c = 6.925 Å
α = 144.48°, β = 144.48°, γ = 51.11°
Fractional coordinates of all 5 atoms:
Na1 0.000 0.000 0.000
Rh1 0.250 0.750 0.500
Rh2 0.750 0.250 0.500
Pb1 0.377 0.377 0.000
Pb2 0.623 0.623 0.000

***

Which one sits at the top of the stability order? <two> does.

***

<one>
DFT (SCAN) results for a crystal of NaPbS3 relaxed with PBEsol.

M_tot: 0.002 μB per cell
SG: Pm-3m, No. 221

a = 5.173 Å, b = 5.173 Å, c = 5.173 Å
α = 90.00°, β = 90.00°, γ = 90.00°
Fractional coordinates of all 5 atoms:
Na1 0.000 0.000 0.000
Pb1 0.500 0.500 0.500
S1 0.000 0.500 0.500
S2 0.500 0.000 0.500
S3 0.500 0.500 0.000

***

<two>
DFT (SCAN) results for a crystal of NaPbS3 relaxed with PBEsol.

M_tot: 3.007 μB per cell
SG: Pm-3m, No. 221

a = 4.890 Å, b = 4.890 Å, c = 4.890 Å
α = 90.00°, β = 90.00°, γ = 90.00°
Fractional coordinates of all 5 atoms:
Na1 0.000 0.000 0.000
Pb1 0.500 0.500 0.500
S1 0.000 0.000 0.500
S2 0.000 0.500 0.000
S3 0.500 0.000 0.000

***

Which one sits at the top of the stability order? <one> does.

***

<one>
DFT (SCAN) results for a crystal of Na2Tl2Pb relaxed with PBEsol.

M_tot: 0.000 μB per cell
SG: P4/mbm, No. 127

a = 8.353 Å, b = 8.353 Å, c = 3.975 Å
α = 90.00°, β = 90.00°, γ = 90.00°
Fractional coordinates of all 10 atoms:
Na1 0.168 0.332 0.000
Na2 0.332 0.832 0.000
Na3 0.668 0.168 0.000
Na4 0.832 0.668 0.000
Tl1 0.133 0.633 0.500
Tl2 0.367 0.133 0.500
Tl3 0.633 0.867 0.500
Tl4 0.867 0.367 0.500
Pb1 0.000 0.000 0.500
Pb2 0.500 0.500 0.500

***

<two>
DFT (SCAN) results for a crystal of Na2Tl2Pb relaxed with PBEsol.

M_tot: 0.000 μB per cell
SG: I4/mmm, No. 139

a = 8.031 Å, b = 8.031 Å, c = 8.031 Å
α = 148.42°, β = 148.42°, γ = 45.26°
Fractional coordinates of all 5 atoms:
Na1 0.250 0.750 0.500
Na2 0.750 0.250 0.500
Tl1 0.098 0.098 0.000
Tl2 0.902 0.902 0.000
Pb1 0.500 0.500 0.000

***

Which one sits at the top of the stability order? <one> does.

***

<one>
DFT (SCAN) results for a crystal of NaSn2Pd2 relaxed with PBEsol.

M_tot: 0.000 μB per cell
SG: P4/mbm, No. 127

a = 8.014 Å, b = 8.014 Å, c = 3.031 Å
α = 90.00°, β = 90.00°, γ = 90.00°
Fractional coordinates of all 10 atoms:
Na1 0.000 0.000 0.000
Na2 0.500 0.500 0.000
Sn1 0.140 0.360 0.000
Sn2 0.360 0.860 0.000
Sn3 0.640 0.140 0.000
Sn4 0.860 0.640 0.000
Pd1 0.156 0.656 0.500
Pd2 0.344 0.156 0.500
Pd3 0.656 0.844 0.500
Pd4 0.844 0.344 0.500

***

<two>
DFT (SCAN) results for a crystal of NaSn2Pd2 relaxed with PBEsol.

M_tot: 0.000 μB per cell
SG: I4/mmm, No. 139

a = 6.412 Å, b = 6.412 Å, c = 6.412 Å
α = 139.22°, β = 139.22°, γ = 59.04°
Fractional coordinates of all 5 atoms:
Na1 0.000 0.000 0.000
Sn1 0.372 0.372 0.000
Sn2 0.628 0.628 0.000
Pd1 0.250 0.750 0.500
Pd2 0.750 0.250 0.500

***

Which one sits at the top of the stability order? <two> does.

***

<one>
DFT (SCAN) results for a crystal of NaPt5 relaxed with PBEsol.

M_tot: 0.002 μB per cell
SG: Amm2, No. 38

a = 4.618 Å, b = 7.463 Å, c = 7.463 Å
α = 20.81°, β = 90.00°, γ = 90.00°
Fractional coordinates of all 6 atoms:
Na1 0.000 0.000 0.000
Pt1 0.000 0.332 0.332
Pt2 0.000 0.668 0.668
Pt3 0.500 0.109 0.109
Pt4 0.500 0.441 0.441
Pt5 0.500 0.777 0.777

***

<two>
DFT (SCAN) results for a crystal of NaPt5 relaxed with PBEsol.

M_tot: 0.000 μB per cell
SG: P6/mmm, No. 191

a = 5.281 Å, b = 5.281 Å, c = 4.346 Å
α = 90.00°, β = 90.00°, γ = 120.00°
Fractional coordinates of all 6 atoms:
Na1 0.000 0.000 0.000
Pt1 0.000 0.500 0.500
Pt2 0.333 0.667 0.000
Pt3 0.500 0.000 0.500
Pt4 0.500 0.500 0.500
Pt5 0.667 0.333 0.000

***

Which one sits at the top of the stability order? <two> does.

***

<one>
DFT (SCAN) results for a crystal of Na3PtRh relaxed with PBEsol.

M_tot: 0.569 μB per cell
SG: Pm-3m, No. 221

a = 4.981 Å, b = 4.981 Å, c = 4.981 Å
α = 90.00°, β = 90.00°, γ = 90.00°
Fractional coordinates of all 5 atoms:
Na1 0.000 0.000 0.500
Na2 0.000 0.500 0.000
Na3 0.500 0.000 0.000
Pt1 0.500 0.500 0.500
Rh1 0.000 0.000 0.000

***

<two>
DFT (SCAN) results for a crystal of Na3PtRh relaxed with PBEsol.

M_tot: 2.000 μB per cell
SG: Pm-3m, No. 221

a = 5.232 Å, b = 5.232 Å, c = 5.232 Å
α = 90.00°, β = 90.00°, γ = 90.00°
Fractional coordinates of all 5 atoms:
Na1 0.000 0.000 0.500
Na2 0.000 0.500 0.000
Na3 0.500 0.000 0.000
Pt1 0.000 0.000 0.000
Rh1 0.500 0.500 0.500

***

Which one sits at the top of the stability order? <two> does.

***

<one>
DFT (SCAN) results for a crystal of NaSc3Pt relaxed with PBEsol.

M_tot: 3.093 μB per cell
SG: Pm-3m, No. 221

a = 4.840 Å, b = 4.840 Å, c = 4.840 Å
α = 90.00°, β = 90.00°, γ = 90.00°
Fractional coordinates of all 5 atoms:
Na1 0.000 0.000 0.000
Sc1 0.000 0.000 0.500
Sc2 0.000 0.500 0.000
Sc3 0.500 0.000 0.000
Pt1 0.500 0.500 0.500

***

<two>
DFT (SCAN) results for a crystal of NaSc3Pt relaxed with PBEsol.

M_tot: 0.000 μB per cell
SG: Pm-3m, No. 221

a = 5.131 Å, b = 5.131 Å, c = 5.131 Å
α = 90.00°, β = 90.00°, γ = 90.00°
Fractional coordinates of all 5 atoms:
Na1 0.000 0.000 0.000
Sc1 0.000 0.500 0.500
Sc2 0.500 0.000 0.500
Sc3 0.500 0.500 0.000
Pt1 0.500 0.500 0.500

***

Which one sits at the top of the stability order? <two> does.